## TmMn3I9 (GGA-PBE)

Data for a relaxed TmMn3I9 crystal.

Unit cell a=10.3884 b=11.3729 c=12.6192 alpha=74.71 beta=65.69 gamma=62.82
Last column: nearest neighbours and their distance in Å.
Fractional coordinates of all 26 atoms:
Tm  0.0208  0.4992  0.0081  6 I 3.00-3.05
Tm  0.4718  0.9992  0.5081  6 I 3.00-3.05
Mn  0.8126  0.5568  0.6749  4 I 2.71-2.73
Mn  0.9558  0.0568  0.1749  4 I 2.71-2.73
Mn  0.9905  0.9456  0.8321  4 I 2.70-2.72
Mn  0.2318  0.4456  0.3321  4 I 2.70-2.72
Mn  0.5781  0.2464  0.7228  4 I 2.71-2.73
Mn  0.4527  0.7464  0.2228  4 I 2.71-2.73
I  0.3319  0.1811  0.3260  1 Mn 2.71, 1 Tm 3.03
I  0.1610  0.6811  0.8260  1 Mn 2.71, 1 Tm 3.03
I  0.3497  0.2912  0.9336  1 Mn 2.72
I  0.4255  0.7912  0.4336  1 Mn 2.72
I  0.1599  0.0867  0.6932  1 Mn 2.70, 1 Tm 3.00
I  0.0602  0.5867  0.1932  1 Mn 2.70, 1 Tm 3.00
I  0.7242  0.7465  0.0622  1 Mn 2.71
I  0.4672  0.2465  0.5622  1 Mn 2.71
I  0.8071  0.9346  0.3709  1 Mn 2.73, 1 Tm 3.01
I  0.8874  0.4346  0.8709  1 Mn 2.73, 1 Tm 3.01
I  0.5654  0.7932  0.7016  1 Mn 2.72, 1 Tm 3.04
I  0.9398  0.2932  0.2016  1 Mn 2.72, 1 Tm 3.04
I  0.4913  0.4927  0.2292  2 Mn 2.70-2.71
I  0.7867  0.9927  0.7292  2 Mn 2.70-2.71
I  0.7387  0.4020  0.5983  2 Mn 2.71-2.73
I  0.2610  0.9020  0.0983  2 Mn 2.71-2.73
I  0.8171  0.0815  0.0250  2 Mn 2.71-2.72
I  0.0764  0.5815  0.5250  2 Mn 2.71-2.72

E_form (uncorrected) = -0.662 eV per atom